Record 1
BaY2Zn, relaxed, DFT GGA-PBE; crystal system = orthorhombic; formation energy from the elements = 4.1 kcal/mol of atoms
1.0
3.8850 0.0000 0.0000
0.0000 5.7277 0.0000
0.0000 0.0000 5.7658
Ba Y Zn
1 2 1
Direct
0.0000 0.0000 0.0000
0.0000 0.5000 0.5000
0.5000 0.5000 0.0000
0.5000 0.0000 0.5000


Record 2
BaY2Zn, relaxed, DFT GGA-PBE; crystal system = tetragonal; formation energy from the elements = -0.9 kcal/mol of atoms
1.0
3.6872 0.0000 0.0000
0.0000 3.6872 0.0000
0.0000 0.0000 9.7035
Ba Y Zn
1 2 1
Direct
0.0000 0.0000 0.0000
0.5000 0.5000 0.3275
0.5000 0.5000 0.6725
0.0000 0.0000 0.5000


Record 3
BaY2Zn, relaxed, DFT GGA-PBE; crystal system = monoclinic; formation energy from the elements = 3.1 kcal/mol of atoms
1.0
3.8710 0.0000 0.0000
0.0000 5.1635 0.0000
-1.8814 0.0000 6.6280
Ba Y Zn
1 2 1
Direct
0.0000 0.0000 0.0000
0.3405 0.5000 0.7062
0.6595 0.5000 0.2938
0.5000 0.0000 0.5000


Record 4
BaY2Zn, relaxed, DFT GGA-PBE; crystal system = trigonal; formation energy from the elements = 2.1 kcal/mol of atoms
1.0
3.7721 0.0000 0.0000
-1.8860 3.2667 0.0000
0.0000 0.0000 32.9528
Ba Y Zn
3 6 3
Direct
0.0000 0.0000 0.0000
0.3333 0.6667 0.6667
0.6667 0.3333 0.3333
0.0000 0.0000 0.2302
0.0000 0.0000 0.4776
0.3333 0.6667 0.1442
0.3333 0.6667 0.8968
0.6667 0.3333 0.5635
0.6667 0.3333 0.8109
0.0000 0.0000 0.7461
0.3333 0.6667 0.4127
0.6667 0.3333 0.0794